Compound: Ba2Bi3
Source: the Alexandria database
Functional: GGA-PBEsol
Structure: optimized geometry

- total magnetization (μB per cell) = 0.0
- calculated volume (Å³/cell) = 189.26
- calculated formation energy (meV/atom) = -796
- space-group type = Immm
- DFT total energy (eV/f.u.) = -21.13

Cell: 6.8155 6.8155 6.8155 Å, 138.58 110.56 84.20°
Closest atoms and distances in Å follow each position.
Atoms (fractional coordinates):
Ba 0.2214 0.2214 0.0000  8 Bi 3.63-3.71
Ba 0.7786 0.7786 0.0000  8 Bi 3.63-3.71
Bi 0.2062 0.5000 0.7062  3 Bi 3.20-3.32
Bi 0.5000 0.0000 0.5000  4 Bi 3.32, 4 Ba 3.71
Bi 0.7938 0.5000 0.2938  3 Bi 3.20-3.32

Compound: CuPt2Rh
Source: the Alexandria database
Functional: GGA-PBEsol
Structure: optimized geometry

- total magnetization (μB per cell) = 0.0
- calculated volume (Å³/cell) = 55.27
- calculated formation energy (meV/atom) = -45
- space-group type = Cm
- DFT total energy (eV/f.u.) = -26.58

Cell: 4.6603 4.6603 4.6610 Å, 99.67 99.67 33.68°
Closest atoms and distances in Å follow each position.
Atoms (fractional coordinates):
Cu 0.0000 0.0000 0.0000  7 Pt 2.66-2.72, 3 Rh 2.68-2.74, 2 Cu 2.70
Pt 0.5029 0.5029 0.5069  3 Rh 2.65-2.67, 4 Cu 2.67-2.72, 5 Pt 2.70-2.75
Pt 0.7488 0.7488 0.2363  3 Cu 2.66-2.67, 4 Rh 2.68-2.71, 5 Pt 2.70-2.75
Rh 0.2529 0.2529 0.7423  7 Pt 2.65-2.71, 3 Cu 2.68-2.74, 2 Rh 2.70

Compound: LiPt2W
Source: the Alexandria database
Functional: GGA-PBEsol
Structure: optimized geometry

- total magnetization (μB per cell) = 0.0
- calculated volume (Å³/cell) = 58.08
- calculated formation energy (meV/atom) = -328
- space-group type = Cm
- DFT total energy (eV/f.u.) = -31.01

Cell: 4.7870 4.7870 4.7014 Å, 97.02 97.02 32.92°
Closest atoms and distances in Å follow each position.
Atoms (fractional coordinates):
Li 0.0000 0.0000 0.0000  7 Pt 2.52-2.73, 2 Li 2.71, 1 W 2.78
Pt 0.4880 0.4880 0.4944  3 W 2.60-2.65, 4 Li 2.71-2.73, 4 Pt 2.71-2.86
Pt 0.7494 0.7494 0.1643  3 Li 2.52-2.69, 4 W 2.67-2.77, 2 Pt 2.71
W 0.2307 0.2307 0.6714  7 Pt 2.60-2.77, 2 W 2.71, 1 Li 2.78

Compound: Sc2H2Ru
Source: the Alexandria database
Functional: GGA-PBEsol
Structure: optimized geometry

- total magnetization (μB per cell) = 0.0
- calculated volume (Å³/cell) = 58.03
- space-group type = I4/mmm
- DFT total energy (eV/f.u.) = -32.91

Cell: 6.1589 6.1589 6.1589 Å, 150.06 150.06 42.85°
Closest atoms and distances in Å follow each position.
Atoms (fractional coordinates):
Sc 0.1379 0.1379 0.0000  4 H 2.04
Sc 0.8621 0.8621 0.0000  4 H 2.04
H 0.2500 0.7500 0.5000  4 Sc 2.04, 4 H 2.25
H 0.7500 0.2500 0.5000  4 Sc 2.04, 4 H 2.25
Ru 0.5000 0.5000 0.0000  8 Sc 2.75

Compound: Ba3TaH
Source: the Alexandria database
Functional: GGA-PBEsol
Structure: optimized geometry

- total magnetization (μB per cell) = 0.0
- calculated volume (Å³/cell) = 216.81
- space-group type = Pm-3m
- DFT total energy (eV/f.u.) = -16.79

Cell: 6.0075 6.0075 6.0075 Å, 90.00 90.00 90.00°
Closest atoms and distances in Å follow each position.
Atoms (fractional coordinates):
Ba 0.0000 0.0000 0.5000  2 Ta 3.00
Ba 0.0000 0.5000 0.0000  2 Ta 3.00
Ba 0.5000 0.0000 0.0000  2 Ta 3.00
Ta 0.0000 0.0000 0.0000  6 Ba 3.00
H 0.5000 0.5000 0.5000  12 Ba 4.25

Compound: Mn2TlAs
Source: the Alexandria database
Functional: GGA-PBEsol
Structure: optimized geometry

- total magnetization (μB per cell) = 1.9
- calculated volume (Å³/cell) = 64.37
- distance to the lowest polymorph of the same formula (kJ/mol of formula units) = 0.0
- calculated formation energy (meV/atom) = 282
- space-group type = P4mm
- DFT total energy (eV/f.u.) = -26.13

Cell: 2.8849 2.8849 7.7350 Å, 90.00 90.00 90.00°
Closest atoms and distances in Å follow each position.
Atoms (fractional coordinates):
Mn 0.0000 0.0000 0.0000  4 Mn 2.41, 4 As 2.50
Mn 0.5000 0.5000 0.1656  4 Mn 2.41
Tl 0.0000 0.0000 0.4319  4 Tl 2.88, 4 Mn 2.90
As 0.5000 0.5000 0.8129  5 Mn 2.50-2.73

Compound: KY2GaRh
Source: the Alexandria database
Functional: GGA-PBEsol
Structure: optimized geometry

- total magnetization (μB per cell) = 0.0
- calculated volume (Å³/cell) = 118.79
- calculated formation energy (meV/atom) = 1239
- space-group type = P4/mmm
- DFT total energy (eV/f.u.) = -20.06

Cell: 5.1226 5.1226 4.5269 Å, 90.00 90.00 90.00°
Closest atoms and distances in Å follow each position.
Atoms (fractional coordinates):
K 0.0000 0.0000 0.0000  2 Rh 2.26
Y 0.0000 0.5000 0.0000  2 K 2.56
Y 0.5000 0.0000 0.0000  2 K 2.56
Ga 0.5000 0.5000 0.5000  8 Y 3.42, 4 Rh 3.62
Rh 0.0000 0.0000 0.5000  2 K 2.26

Compound: Ca5Ag4
Source: the Alexandria database
Functional: GGA-PBEsol
Structure: optimized geometry

- total magnetization (μB per cell) = 0.0
- calculated volume (Å³/cell) = 473.63
- calculated formation energy (meV/atom) = -209
- space-group type = P6_3/mcm
- DFT total energy (eV/f.u.) = -25.79

Cell: 9.1165 9.1165 6.5804 Å, 90.00 90.00 120.00°
Closest atoms and distances in Å follow each position.
Atoms (fractional coordinates):
Ca 0.0000 0.2739 0.2500  5 Ag 2.99-3.16
Ca 0.0000 0.7261 0.7500  5 Ag 2.99-3.16
Ca 0.2739 0.0000 0.2500  5 Ag 2.99-3.16
Ca 0.2739 0.2739 0.7500  5 Ag 2.99-3.16
Ca 0.3333 0.6667 0.0000  6 Ag 3.26, 2 Ca 3.29
Ca 0.3333 0.6667 0.5000  6 Ag 3.26, 2 Ca 3.29
Ca 0.6667 0.3333 0.0000  6 Ag 3.26, 2 Ca 3.29
Ca 0.6667 0.3333 0.5000  6 Ag 3.26, 2 Ca 3.29
Ca 0.7261 0.0000 0.7500  5 Ag 2.99-3.16
Ca 0.7261 0.7261 0.2500  5 Ag 2.99-3.16
Ag 0.0000 0.0000 0.0000  6 Ca 2.99, 2 Ag 3.29
Ag 0.0000 0.0000 0.5000  6 Ca 2.99, 2 Ag 3.29
Ag 0.0000 0.3895 0.7500  7 Ca 3.07-3.26
Ag 0.0000 0.6105 0.2500  7 Ca 3.07-3.26
Ag 0.3895 0.0000 0.7500  7 Ca 3.07-3.26
Ag 0.3895 0.3895 0.2500  7 Ca 3.07-3.26
Ag 0.6105 0.0000 0.2500  7 Ca 3.07-3.26
Ag 0.6105 0.6105 0.7500  7 Ca 3.07-3.26